Computed, not measured: a relaxed NaCa2Ga2 crystal at the PBE level of DFT.

The space group is I4/mmm (No. 139) and the conventional cell measures 5.8062, 5.8062 and 8.8935 Å, with angles of 90.00, 90.00 and 90.00 degrees. The inequivalent atoms are Na at (0.0000, 0.0000, 0.0000), Ca at (0.0000, 0.5000, 0.2500) and Ga at (0.0000, 0.0000, 0.3639).

For the formation energy from the elements, the calculation gives -0.15 eV per atom. The total magnetic moment comes out at 0.0 μB per formula unit.

***

Computed, not measured: a relaxed LaTaAu2 crystal at the PBE level of DFT.

The space group is P4/mmm (No. 123) and the conventional cell measures 3.1390, 3.1390 and 8.5330 Å, with angles of 90.00, 90.00 and 90.00 degrees. The inequivalent atoms are La at (0.0000, 0.0000, 0.0000), Ta at (0.0000, 0.0000, 0.5000) and Au at (0.5000, 0.5000, 0.2835).

For the formation energy from the elements, the calculation gives -0.19 eV per atom. The total magnetic moment comes out at 0.0 μB per formula unit.

***

Computed, not measured: a relaxed PuHgSe2 crystal at the PBE level of DFT.

The space group is R-3m (No. 166, hexagonal axes) and the conventional cell measures 4.1357, 4.1357 and 27.6990 Å, with angles of 90.00, 90.00 and 120.00 degrees. The inequivalent atoms are Pu at (0.0000, 0.0000, 0.0000), Hg at (0.0000, 0.0000, 0.5000) and Se at (0.0000, 0.0000, 0.2795).

The formation energy without anion corrections is -84.0 kJ/mol of atoms. The total magnetic moment comes out at 4.0 μB per formula unit.

***

> total magnetic moment of number 2 (LaTaAu2)?

0.0 μB per formula unit

***

> Which value of total magnetic moment does entry 1 give?

0.0 μB per formula unit

***

> What is the formula in the third record?

PuHgSe2